(1)
First-principles (GGA-PBE) data for a geometry-optimized CePr2NdBi4 structure, as listed in Alexandria.

Computed properties:
Energy of formation from the pure elements   -0.9175 eV per atom
V   279.33 Å³ per cell

abc: 8.007 4.619 8.007
angles: 90.00 109.39 90.00
Positions (direct):
Ce (0.000, 0.000, 0.000)
Pr (0.000, 0.500, 0.500)
Pr (0.500, 0.000, 0.500)
Nd (0.500, 0.500, 0.000)
Bi (0.248, 0.500, 0.246)
Bi (0.249, 0.000, 0.753)
Bi (0.751, 0.000, 0.247)
Bi (0.752, 0.500, 0.754)

---

(2)
First-principles (GGA-PBE) data for a geometry-optimized Ce3PrNd2Bi6 structure, as listed in Alexandria.

Computed properties:
Energy of formation from the pure elements   -0.8766 eV per atom
V   416.07 Å³ per cell

abc: 7.987 7.987 7.988
angles: 99.59 99.59 120.00
Positions (direct):
Ce (0.000, 0.000, 0.000)
Ce (0.334, 0.666, 0.000)
Ce (0.666, 0.334, 0.000)
Pr (0.500, 0.500, 0.500)
Nd (0.167, 0.833, 0.500)
Nd (0.833, 0.167, 0.500)
Bi (0.081, 0.416, 0.247)
Bi (0.250, 0.250, 0.753)
Bi (0.416, 0.081, 0.247)
Bi (0.584, 0.919, 0.753)
Bi (0.750, 0.750, 0.247)
Bi (0.919, 0.584, 0.753)

---

(3)
First-principles (GGA-PBE) data for a geometry-optimized Ce2PrNdBi5 structure, as listed in Alexandria.

Computed properties:
Energy of formation from the pure elements   -0.0303 eV per atom
V   377.11 Å³ per cell

abc: 5.571 5.571 12.151
angles: 90.00 90.00 90.00
Positions (direct):
Ce (0.000, 0.000, 0.222)
Ce (0.000, 0.000, 0.778)
Pr (0.500, 0.500, 0.500)
Nd (0.500, 0.500, 0.000)
Bi (0.000, 0.000, 0.500)
Bi (0.000, 0.500, 0.000)
Bi (0.500, 0.000, 0.000)
Bi (0.500, 0.500, 0.252)
Bi (0.500, 0.500, 0.748)

---

(4)
First-principles (GGA-PBE) data for a geometry-optimized CePrNd2Bi4 structure, as listed in Alexandria.

Computed properties:
Energy of formation from the pure elements   -0.9147 eV per atom
V   277.92 Å³ per cell

abc: 7.993 4.611 7.993
angles: 90.00 109.39 90.00
Positions (direct):
Ce (0.000, 0.000, 0.000)
Pr (0.000, 0.500, 0.500)
Nd (0.500, 0.000, 0.500)
Nd (0.500, 0.500, 0.000)
Bi (0.249, 0.500, 0.248)
Bi (0.250, 0.000, 0.753)
Bi (0.750, 0.000, 0.247)
Bi (0.751, 0.500, 0.752)

---

(5)
First-principles (GGA-PBE) data for a geometry-optimized Ce2PrNdBi4 structure, as listed in Alexandria.

Computed properties:
Energy of formation from the pure elements   -0.8772 eV per atom
V   277.74 Å³ per cell

abc: 7.989 4.613 7.993
angles: 90.00 109.47 90.00
Positions (direct):
Ce (0.000, 0.000, 0.000)
Ce (0.000, 0.500, 0.500)
Pr (0.500, 0.000, 0.500)
Nd (0.500, 0.500, 0.000)
Bi (0.246, 0.500, 0.248)
Bi (0.247, 0.000, 0.750)
Bi (0.753, 0.000, 0.250)
Bi (0.754, 0.500, 0.752)

---

(6)
First-principles (GGA-PBE) data for a geometry-optimized CePr2NdBi5 structure, as listed in Alexandria.

Computed properties:
Energy of formation from the pure elements   -0.0627 eV per atom
V   376.57 Å³ per cell

abc: 5.571 5.571 12.134
angles: 90.00 90.00 90.00
Positions (direct):
Ce (0.000, 0.000, 0.000)
Pr (0.500, 0.500, 0.277)
Pr (0.500, 0.500, 0.723)
Nd (0.000, 0.000, 0.500)
Bi (0.000, 0.000, 0.245)
Bi (0.000, 0.000, 0.755)
Bi (0.000, 0.500, 0.500)
Bi (0.500, 0.000, 0.500)
Bi (0.500, 0.500, 0.000)

---

Q: Among the records above, which one has the highest V?
A: Ce3PrNd2Bi6